Below is LaPuBi after structural relaxation, with properties calculated at the PBE level.

The structure in extended XYZ format:
```
3
Lattice="-4.206 -0.609 -0.426 -0.142 -1.742 3.897 1.312 5.730 0.268" Properties=species:S:1:pos:R:3 pbc="T T T"
Pu -2.925 2.793 3.482
Bi -0.491 2.592 1.141
La -2.398 0.007 2.256
```

Summary:
Offset from the most stable computed form ... 0.000 eV/f.u.
Density ... 10.669 Mg/m³
Formation energy from the elements ... -0.3886 eV per atom
Space-group type ... I4mm (107)